# Nd6DyMg2, optimized geometry, DFT PBE
data_Nd6DyMg2
_chemical_formula_sum 'Nd12 Dy2 Mg4'
_cell_length_a 6.1858
_cell_length_b 10.6228
_cell_length_c 8.8223
_cell_angle_alpha 90.00
_cell_angle_beta 90.00
_cell_angle_gamma 90.00
_symmetry_space_group_name_H-M 'C 2 2 2'
_symmetry_Int_Tables_number 21
loop_
_symmetry_equiv_pos_as_xyz
'x,y,z'
'-x,-y,z'
'x,-y,-z'
'-x,y,-z'
'x+1/2,y+1/2,z'
'-x+1/2,-y+1/2,z'
'x+1/2,-y+1/2,-z'
'-x+1/2,y+1/2,-z'
loop_
_atom_site_label
_atom_site_type_symbol
_atom_site_fract_x
_atom_site_fract_y
_atom_site_fract_z
_atom_site_occupancy
Nd1 Nd 0.0000 0.1738 0.0000 1
Nd2 Nd 0.2436 0.4154 0.6636 1
Dy1 Dy 0.0000 0.5000 0.0000 1
Mg1 Mg 0.2500 0.2500 0.3293 1
# **Spin magnetization**: 0.00 μB/cell
# **Offset from the most stable computed form**: 0 meV/atom

# NdDy2Mg4, optimized geometry, DFT PBE
data_NdDy2Mg4
_chemical_formula_sum 'Nd2 Dy4 Mg8'
_cell_length_a 5.3792
_cell_length_b 5.3792
_cell_length_c 14.7430
_cell_angle_alpha 90.00
_cell_angle_beta 90.00
_cell_angle_gamma 90.00
_symmetry_space_group_name_H-M 'I 4/m m m'
_symmetry_Int_Tables_number 139
_symmetry_space_group_name_Hall '-I 4 2'
loop_
_atom_site_label
_atom_site_type_symbol
_atom_site_fract_x
_atom_site_fract_y
_atom_site_fract_z
_atom_site_occupancy
Nd1 Nd 0.0000 0.0000 0.0000 1
Dy1 Dy 0.0000 0.0000 0.2506 1
Mg1 Mg 0.0000 0.5000 0.1199 1
# **Spin magnetization**: 0.62 μB/cell
# **Offset from the most stable computed form**: 0 meV/atom

# NdDy2Mg4, optimized geometry, DFT PBE
data_NdDy2Mg4
_chemical_formula_sum 'Nd2 Dy4 Mg8'
_cell_length_a 5.9955
_cell_length_b 12.9140
_cell_length_c 5.5369
_cell_angle_alpha 90.00
_cell_angle_beta 90.00
_cell_angle_gamma 90.00
_symmetry_space_group_name_H-M 'C m m m'
_symmetry_Int_Tables_number 65
_symmetry_space_group_name_Hall '-C 2 2'
loop_
_atom_site_label
_atom_site_type_symbol
_atom_site_fract_x
_atom_site_fract_y
_atom_site_fract_z
_atom_site_occupancy
Nd1 Nd 0.0000 0.0000 0.0000 1
Dy1 Dy 0.0000 0.3669 0.5000 1
Mg1 Mg 0.0000 0.1205 0.5000 1
Mg2 Mg 0.0000 0.2502 0.0000 1
# **Spin magnetization**: 0.00 μB/cell
# **Offset from the most stable computed form**: 223 meV/atom

# NdDy14Mg, optimized geometry, DFT PBE
data_NdDy14Mg
_chemical_formula_sum 'Nd2 Dy28 Mg2'
_cell_length_a 10.0074
_cell_length_b 9.9773
_cell_length_c 9.9775
_cell_angle_alpha 90.00
_cell_angle_beta 90.00
_cell_angle_gamma 90.00
_symmetry_space_group_name_H-M 'A m m 2'
_symmetry_Int_Tables_number 38
loop_
_symmetry_equiv_pos_as_xyz
'x,y,z'
'-x,-y,z'
'-x,y,z'
'x,-y,z'
'x,y+1/2,z+1/2'
'-x,-y+1/2,z+1/2'
'-x,y+1/2,z+1/2'
'x,-y+1/2,z+1/2'
loop_
_atom_site_label
_atom_site_type_symbol
_atom_site_fract_x
_atom_site_fract_y
_atom_site_fract_z
_atom_site_occupancy
Nd1 Nd 0.0000 0.0000 0.0000 1
Dy1 Dy 0.0000 0.2500 0.2501 1
Dy2 Dy 0.2503 0.0000 0.2495 1
Dy3 Dy 0.2504 0.0000 0.7507 1
Dy4 Dy 0.2503 0.2494 0.0000 1
Dy5 Dy 0.5000 0.0000 0.0000 1
Dy6 Dy 0.5000 0.0000 0.5000 1
Dy7 Dy 0.5000 0.2500 0.2500 1
Mg1 Mg 0.0000 0.0000 0.5008 1
# **VASP energy**: -4.4061 eV per atom
# **Spin magnetization**: 0.00 μB/cell

# Nd5DyMg6, optimized geometry, DFT PBE
data_Nd5DyMg6
_chemical_formula_sum 'Nd10 Dy2 Mg12'
_cell_length_a 5.4689
_cell_length_b 16.4187
_cell_length_c 7.7517
_cell_angle_alpha 90.00
_cell_angle_beta 90.00
_cell_angle_gamma 90.00
_symmetry_space_group_name_H-M 'C m m m'
_symmetry_Int_Tables_number 65
_symmetry_space_group_name_Hall '-C 2 2'
loop_
_atom_site_label
_atom_site_type_symbol
_atom_site_fract_x
_atom_site_fract_y
_atom_site_fract_z
_atom_site_occupancy
Nd1 Nd 0.0000 0.0000 0.0000 1
Nd2 Nd 0.0000 0.3318 0.0000 1
Nd3 Nd 0.0000 0.3350 0.5000 1
Dy1 Dy 0.0000 0.0000 0.5000 1
Mg1 Mg 0.0000 0.1649 0.2541 1
Mg2 Mg 0.0000 0.5000 0.2522 1
# **VASP energy**: -3.2737 eV per atom
# **Spin magnetization**: 0.00 μB/cell

# NdDyMg5, optimized geometry, DFT PBE
data_NdDyMg5
_chemical_formula_sum 'Nd2 Dy2 Mg10'
_cell_length_a 6.3602
_cell_length_b 9.7398
_cell_length_c 6.6964
_cell_angle_alpha 90.00
_cell_angle_beta 109.87
_cell_angle_gamma 90.00
_symmetry_space_group_name_H-M 'C 1 2/m 1'
_symmetry_Int_Tables_number 12
loop_
_symmetry_equiv_pos_as_xyz
'x,y,z'
'-x,-y,-z'
'-x,y,-z'
'x,-y,z'
'x+1/2,y+1/2,z'
'-x+1/2,-y+1/2,-z'
'-x+1/2,y+1/2,-z'
'x+1/2,-y+1/2,z'
loop_
_atom_site_label
_atom_site_type_symbol
_atom_site_fract_x
_atom_site_fract_y
_atom_site_fract_z
_atom_site_occupancy
Nd1 Nd 0.0000 0.0000 0.0000 1
Dy1 Dy 0.0000 0.5000 0.5000 1
Mg1 Mg 0.0000 0.0000 0.5000 1
Mg2 Mg 0.2035 0.2882 0.2285 1
# **VASP energy**: -2.3789 eV per atom
# **Spin magnetization**: 0.00 μB/cell

# Nd3Dy3Mg, optimized geometry, DFT PBE
data_Nd3Dy3Mg
_chemical_formula_sum 'Nd18 Dy18 Mg6'
_cell_length_a 6.2477
_cell_length_b 6.2477
_cell_length_c 42.2044
_cell_angle_alpha 90.00
_cell_angle_beta 90.00
_cell_angle_gamma 120.00
_symmetry_space_group_name_H-M 'R -3'
_symmetry_Int_Tables_number 148
_symmetry_space_group_name_Hall '-R 3'
loop_
_atom_site_label
_atom_site_type_symbol
_atom_site_fract_x
_atom_site_fract_y
_atom_site_fract_z
_atom_site_occupancy
Nd1 Nd 0.9997 0.3327 0.4355 1
Dy1 Dy 0.9998 0.3328 0.6327 1
Mg1 Mg 0.0000 0.0000 0.1667 1
# **Spin magnetization**: 0.01 μB/cell
# **Offset from the most stable computed form**: 73 meV/atom

# Nd4Dy2Mg, optimized geometry, DFT PBE
data_Nd4Dy2Mg
_chemical_formula_sum 'Nd12 Dy6 Mg3'
_cell_length_a 5.6840
_cell_length_b 5.6840
_cell_length_c 24.4490
_cell_angle_alpha 90.00
_cell_angle_beta 90.00
_cell_angle_gamma 120.00
_symmetry_space_group_name_H-M 'R -3 m'
_symmetry_Int_Tables_number 166
_symmetry_space_group_name_Hall '-R 3 2"'
loop_
_atom_site_label
_atom_site_type_symbol
_atom_site_fract_x
_atom_site_fract_y
_atom_site_fract_z
_atom_site_occupancy
Nd1 Nd 0.0000 0.0000 0.0679 1
Nd2 Nd 0.0000 0.0000 0.2108 1
Dy1 Dy 0.0000 0.0000 0.3571 1
Mg1 Mg 0.0000 0.0000 0.5000 1
# **Spin magnetization**: 0.00 μB/cell
# **Offset from the most stable computed form**: 0 meV/atom

# Nd6Dy2Mg, optimized geometry, DFT PBE
data_Nd6Dy2Mg
_chemical_formula_sum 'Nd24 Dy8 Mg4'
_cell_length_a 21.2231
_cell_length_b 9.5167
_cell_length_c 6.1604
_cell_angle_alpha 90.00
_cell_angle_beta 106.86
_cell_angle_gamma 90.00
_symmetry_space_group_name_H-M 'C 1 2/c 1'
_symmetry_Int_Tables_number 15
loop_
_symmetry_equiv_pos_as_xyz
'x,y,z'
'-x,-y,-z'
'-x,y,-z+1/2'
'x,-y,z+1/2'
'x+1/2,y+1/2,z'
'-x+1/2,-y+1/2,-z'
'-x+1/2,y+1/2,-z+1/2'
'x+1/2,-y+1/2,z+1/2'
loop_
_atom_site_label
_atom_site_type_symbol
_atom_site_fract_x
_atom_site_fract_y
_atom_site_fract_z
_atom_site_occupancy
Nd1 Nd 0.0790 0.0746 0.2298 1
Nd2 Nd 0.0792 0.4249 0.4270 1
Nd3 Nd 0.1693 0.2503 0.9192 1
Dy1 Dy 0.2497 0.0795 0.5521 1
Mg1 Mg 0.0000 0.2504 0.7500 1
# **Spin magnetization**: 0.00 μB/cell
# **Offset from the most stable computed form**: 39 meV/atom

# Nd5Dy3Mg, optimized geometry, DFT PBE
data_Nd5Dy3Mg
_chemical_formula_sum 'Nd20 Dy12 Mg4'
_cell_length_a 14.8270
_cell_length_b 11.7843
_cell_length_c 9.1514
_cell_angle_alpha 90.00
_cell_angle_beta 122.21
_cell_angle_gamma 90.00
_symmetry_space_group_name_H-M 'C 1 2/m 1'
_symmetry_Int_Tables_number 12
loop_
_symmetry_equiv_pos_as_xyz
'x,y,z'
'-x,-y,-z'
'-x,y,-z'
'x,-y,z'
'x+1/2,y+1/2,z'
'-x+1/2,-y+1/2,-z'
'-x+1/2,y+1/2,-z'
'x+1/2,-y+1/2,z'
loop_
_atom_site_label
_atom_site_type_symbol
_atom_site_fract_x
_atom_site_fract_y
_atom_site_fract_z
_atom_site_occupancy
Nd1 Nd 0.0000 0.2440 0.0000 1
Nd2 Nd 0.0506 0.0000 0.3495 1
Nd3 Nd 0.1693 0.2633 0.6990 1
Nd4 Nd 0.1862 0.5000 0.4347 1
Dy1 Dy 0.0000 0.5000 0.0000 1
Dy2 Dy 0.0000 0.5000 0.5000 1
Dy3 Dy 0.1407 0.0000 0.0853 1
Dy4 Dy 0.2018 0.0000 0.7793 1
Mg1 Mg 0.1338 0.5000 0.8601 1
# **VASP energy**: -3.8286 eV per atom
# **Spin magnetization**: 0.00 μB/cell